# 1
# Li5WN3, optimized geometry, DFT GGA-PBE
data_Li5WN3
_space_group_name_H-M_alt 'C 1 2/c 1'
_space_group_IT_number 15
_cell_length_a 10.7079
_cell_length_b 5.3828
_cell_length_c 7.2459
_cell_angle_alpha 90.00
_cell_angle_beta 109.66
_cell_angle_gamma 90.00
loop_
_space_group_symop_operation_xyz
'x,y,z'
'-x,-y,-z'
'-x,y,-z+1/2'
'x,-y,z+1/2'
'x+1/2,y+1/2,z'
'-x+1/2,-y+1/2,-z'
'-x+1/2,y+1/2,-z+1/2'
'x+1/2,-y+1/2,z+1/2'
loop_
_atom_site_label
_atom_site_type_symbol
_atom_site_fract_x
_atom_site_fract_y
_atom_site_fract_z
Li1 Li 0.0000 0.1451 0.2500
Li2 Li 0.1802 0.1308 0.0839
Li3 Li 0.1898 0.3880 0.5960
W1 W 0.0000 0.3422 0.7500
N1 N 0.0000 0.5000 0.0000
N2 N 0.1499 0.1279 0.7852
# ρ = 4.40 g/cm3
# uncorrected formation energy = -0.489 eV/atom
# total energy = -5.766 eV per atom

---

# 2
# LiWN2, optimized geometry, DFT GGA-PBE
data_LiWN2
_space_group_name_H-M_alt 'I -4 2 d'
_space_group_IT_number 122
_space_group_name_Hall 'I -4 2bw'
_cell_length_a 4.6915
_cell_length_b 4.6915
_cell_length_c 9.3604
_cell_angle_alpha 90.00
_cell_angle_beta 90.00
_cell_angle_gamma 90.00
loop_
_atom_site_label
_atom_site_type_symbol
_atom_site_fract_x
_atom_site_fract_y
_atom_site_fract_z
Li1 Li 0.0000 0.0000 0.0000
W1 W 0.0000 0.0000 0.5000
N1 N 0.2053 0.2500 0.6250
# energy above the lowest structure with this stoichiometry = 36 meV/atom
# ρ = 7.05 g/cm3
# uncorrected formation energy = -0.486 eV/atom
# total energy = -8.365 eV per atom

---

# 3
# LiWN2, optimized geometry, DFT GGA-PBE
data_LiWN2
_space_group_name_H-M_alt 'I 41/a m d'
_space_group_IT_number 141
_cell_length_a 5.7448
_cell_length_b 5.7448
_cell_length_c 9.6567
_cell_angle_alpha 90.00
_cell_angle_beta 90.00
_cell_angle_gamma 90.00
loop_
_space_group_symop_operation_xyz
'x,y,z'
'-x,-y,-z'
'-y+1/4,x+3/4,z+1/4'
'y+1/4,-x+3/4,-z+1/4'
'-x+1/2,-y,z+1/2'
'x+1/2,y,-z+1/2'
'y+1/4,-x+1/4,z+3/4'
'-y+1/4,x+1/4,-z+3/4'
'x,-y,-z'
'-x,y,z'
'-y+1/4,-x+1/4,-z+3/4'
'y+1/4,x+1/4,z+3/4'
'-x+1/2,y,-z+1/2'
'x+1/2,-y,z+1/2'
'y+1/4,x+3/4,-z+1/4'
'-y+1/4,-x+3/4,z+1/4'
'x+1/2,y+1/2,z+1/2'
'-x+1/2,-y+1/2,-z+1/2'
'-y+3/4,x+1/4,z+3/4'
'y+3/4,-x+1/4,-z+3/4'
'-x,-y+1/2,z'
'x,y+1/2,-z'
'y+3/4,-x+3/4,z+1/4'
'-y+3/4,x+3/4,-z+1/4'
'x+1/2,-y+1/2,-z+1/2'
'-x+1/2,y+1/2,z+1/2'
'-y+3/4,-x+3/4,-z+1/4'
'y+3/4,x+3/4,z+1/4'
'-x,y+1/2,-z'
'x,-y+1/2,z'
'y+3/4,x+1/4,-z+3/4'
'-y+3/4,-x+1/4,z+3/4'
loop_
_atom_site_label
_atom_site_type_symbol
_atom_site_fract_x
_atom_site_fract_y
_atom_site_fract_z
Li1 Li 0.0000 0.2500 0.3750
W1 W 0.0000 0.2500 0.8750
N1 N 0.0000 0.0000 0.0000
# energy above the lowest structure with this stoichiometry = 418 meV/atom
# ρ = 4.56 g/cm3
# uncorrected formation energy = -0.103 eV/atom
# total energy = -7.983 eV per atom

---

# 4
# Li15W7N19, optimized geometry, DFT GGA-PBE
data_Li15W7N19
_space_group_name_H-M_alt 'P -1'
_space_group_IT_number 2
_cell_length_a 5.7815
_cell_length_b 11.0970
_cell_length_c 17.5810
_cell_angle_alpha 91.20
_cell_angle_beta 93.93
_cell_angle_gamma 104.13
loop_
_space_group_symop_operation_xyz
'x,y,z'
'-x,-y,-z'
loop_
_atom_site_label
_atom_site_type_symbol
_atom_site_fract_x
_atom_site_fract_y
_atom_site_fract_z
Li1 Li 0.0000 0.0000 0.0000
Li2 Li 0.0006 0.8860 0.5462
Li3 Li 0.0291 0.6692 0.6534
Li4 Li 0.0731 0.8430 0.8509
Li5 Li 0.1250 0.0141 0.3025
Li6 Li 0.1302 0.4138 0.5019
Li7 Li 0.1537 0.5714 0.9560
Li8 Li 0.2222 0.6666 0.4055
Li9 Li 0.2747 0.6403 0.8218
Li10 Li 0.2845 0.4875 0.2075
Li11 Li 0.3332 0.2594 0.2840
Li12 Li 0.3523 0.2325 0.7931
Li13 Li 0.3815 0.4196 0.8957
Li14 Li 0.4337 0.4638 0.3688
Li15 Li 0.4806 0.8763 0.0169
Li16 Li 0.5000 0.0000 0.5000
W1 W 0.1010 0.7075 0.1199
W2 W 0.1251 0.4368 0.7081
W3 W 0.2069 0.1696 0.6134
W4 W 0.2260 0.3189 0.0619
W5 W 0.3129 0.9281 0.7020
W6 W 0.3715 0.0417 0.1258
W7 W 0.4693 0.7449 0.5436
N1 N 0.0378 0.8346 0.7318
N2 N 0.0401 0.3514 0.1353
N3 N 0.0591 0.9370 0.4287
N4 N 0.0830 0.3755 0.9689
N5 N 0.1050 0.3420 0.8008
N6 N 0.1523 0.5185 0.3162
N7 N 0.1572 0.3328 0.6218
N8 N 0.1751 0.8810 0.1040
N9 N 0.2175 0.1423 0.0645
N10 N 0.2403 0.6036 0.5176
N11 N 0.2606 0.2928 0.4130
N12 N 0.2759 0.0970 0.7079
N13 N 0.3452 0.8634 0.6046
N14 N 0.3553 0.9572 0.9174
N15 N 0.3731 0.5776 0.7211
N16 N 0.3738 0.6609 0.1383
N17 N 0.4170 0.0895 0.2328
N18 N 0.4670 0.1757 0.5515
N19 N 0.4686 0.5987 0.9138
# ρ = 5.05 g/cm3
# uncorrected formation energy = -0.612 eV/atom
# total energy = -7.381 eV per atom

---

# 5
# LiWN2, optimized geometry, DFT GGA-PBE
data_LiWN2
_space_group_name_H-M_alt 'P 4/m m m'
_space_group_IT_number 123
_space_group_name_Hall '-P 4 2'
_cell_length_a 2.6680
_cell_length_b 2.6680
_cell_length_c 5.5060
_cell_angle_alpha 90.00
_cell_angle_beta 90.00
_cell_angle_gamma 90.00
loop_
_atom_site_label
_atom_site_type_symbol
_atom_site_fract_x
_atom_site_fract_y
_atom_site_fract_z
Li1 Li 0.0000 0.0000 0.0000
W1 W 0.0000 0.0000 0.5000
N1 N 0.5000 0.5000 0.2860
# energy above the lowest structure with this stoichiometry = 523 meV/atom
# ρ = 9.27 g/cm3
# uncorrected formation energy = 0.001 eV/atom
# total energy = -7.878 eV per atom

---

# 6
# Li3WN3, optimized geometry, DFT GGA-PBE
data_Li3WN3
_space_group_name_H-M_alt 'C 1 2/m 1'
_space_group_IT_number 12
_cell_length_a 6.1311
_cell_length_b 10.1229
_cell_length_c 5.6474
_cell_angle_alpha 90.00
_cell_angle_beta 93.65
_cell_angle_gamma 90.00
loop_
_space_group_symop_operation_xyz
'x,y,z'
'-x,-y,-z'
'-x,y,-z'
'x,-y,z'
'x+1/2,y+1/2,z'
'-x+1/2,-y+1/2,-z'
'-x+1/2,y+1/2,-z'
'x+1/2,-y+1/2,z'
loop_
_atom_site_label
_atom_site_type_symbol
_atom_site_fract_x
_atom_site_fract_y
_atom_site_fract_z
Li1 Li 0.0000 0.2270 0.0000
Li2 Li 0.0000 0.2691 0.5000
Li3 Li 0.1114 0.5000 0.8522
W1 W 0.1927 0.0000 0.6503
N1 N 0.1176 0.0000 0.3071
N2 N 0.1613 0.3529 0.2343
# ρ = 4.68 g/cm3
# uncorrected formation energy = -0.536 eV/atom
# total energy = -6.775 eV per atom

---

# 7
# LiWN2, optimized geometry, DFT GGA-PBE
data_LiWN2
_space_group_name_H-M_alt 'F m -3 m'
_space_group_IT_number 225
_space_group_name_Hall '-F 4 2 3'
_cell_length_a 5.1632
_cell_length_b 5.1632
_cell_length_c 5.1632
_cell_angle_alpha 90.00
_cell_angle_beta 90.00
_cell_angle_gamma 90.00
loop_
_atom_site_label
_atom_site_type_symbol
_atom_site_fract_x
_atom_site_fract_y
_atom_site_fract_z
Li1 Li 0.0000 0.0000 0.0000
W1 W 0.0000 0.0000 0.5000
N1 N 0.2500 0.2500 0.2500
# energy above the lowest structure with this stoichiometry = 736 meV/atom
# ρ = 10.56 g/cm3
# uncorrected formation energy = 0.215 eV/atom
# total energy = -7.665 eV per atom

---

# 8
# Li3WN2, optimized geometry, DFT GGA-PBE
data_Li3WN2
_space_group_name_H-M_alt 'P 1 21/m 1'
_space_group_IT_number 11
_cell_length_a 4.8697
_cell_length_b 6.3289
_cell_length_c 4.8765
_cell_angle_alpha 90.00
_cell_angle_beta 94.61
_cell_angle_gamma 90.00
loop_
_space_group_symop_operation_xyz
'x,y,z'
'-x,-y,-z'
'-x,y+1/2,-z'
'x,-y+1/2,z'
loop_
_atom_site_label
_atom_site_type_symbol
_atom_site_fract_x
_atom_site_fract_y
_atom_site_fract_z
Li1 Li 0.1844 0.2500 0.3206
Li2 Li 0.2154 0.0087 0.8316
W1 W 0.3149 0.7500 0.3504
N1 N 0.0552 0.7500 0.0552
N2 N 0.5000 0.0000 0.5000
# ρ = 5.16 g/cm3
# uncorrected formation energy = -0.468 eV/atom
# total energy = -6.359 eV per atom

---

# 9
# Li2YWN4, optimized geometry, DFT GGA-PBE
data_Li2YWN4
_space_group_name_H-M_alt 'I -4 2 m'
_space_group_IT_number 121
_space_group_name_Hall 'I -4 2'
_cell_length_a 5.3490
_cell_length_b 5.3490
_cell_length_c 6.7308
_cell_angle_alpha 90.00
_cell_angle_beta 90.00
_cell_angle_gamma 90.00
loop_
_atom_site_label
_atom_site_type_symbol
_atom_site_fract_x
_atom_site_fract_y
_atom_site_fract_z
Li1 Li 0.0000 0.5000 0.2500
Y1 Y 0.0000 0.0000 0.0000
W1 W 0.0000 0.0000 0.5000
N1 N 0.2091 0.2091 0.3483
# ρ = 5.91 g/cm3
# uncorrected formation energy = -0.714 eV/atom
# total energy = -7.782 eV per atom

---

# 10
# LiYWN2, optimized geometry, DFT GGA-PBE
data_LiYWN2
_space_group_name_H-M_alt 'P 4/m m m'
_space_group_IT_number 123
_space_group_name_Hall '-P 4 2'
_cell_length_a 4.2534
_cell_length_b 4.2534
_cell_length_c 4.4310
_cell_angle_alpha 90.00
_cell_angle_beta 90.00
_cell_angle_gamma 90.00
loop_
_atom_site_label
_atom_site_type_symbol
_atom_site_fract_x
_atom_site_fract_y
_atom_site_fract_z
Li1 Li 0.0000 0.0000 0.0000
Y1 Y 0.0000 0.0000 0.5000
W1 W 0.5000 0.5000 0.0000
N1 N 0.0000 0.5000 0.5000
# ρ = 6.37 g/cm3
# uncorrected formation energy = 1.864 eV/atom
# total energy = -5.732 eV per atom

---

# 11
# LiZn2WN4, optimized geometry, DFT GGA-PBE
data_LiZn2WN4
_space_group_name_H-M_alt 'P m n 21'
_space_group_IT_number 31
_cell_length_a 6.7335
_cell_length_b 5.6864
_cell_length_c 5.3222
_cell_angle_alpha 90.00
_cell_angle_beta 90.00
_cell_angle_gamma 90.00
loop_
_space_group_symop_operation_xyz
'x,y,z'
'-x+1/2,-y,z+1/2'
'-x,y,z'
'x+1/2,-y,z+1/2'
loop_
_atom_site_label
_atom_site_type_symbol
_atom_site_fract_x
_atom_site_fract_y
_atom_site_fract_z
Li1 Li 0.0000 0.1722 0.0000
Zn1 Zn 0.2474 0.3305 0.5093
W1 W 0.0000 0.8260 0.5117
N1 N 0.0000 0.1465 0.4132
N2 N 0.0000 0.8097 0.8637
N3 N 0.2274 0.6702 0.3916
# ρ = 6.15 g/cm3
# uncorrected formation energy = -0.185 eV/atom
# total energy = -6.525 eV per atom

---

# 12
# LiZrW2N, optimized geometry, DFT GGA-PBE
data_LiZrW2N
_space_group_name_H-M_alt 'P 4/m m m'
_space_group_IT_number 123
_space_group_name_Hall '-P 4 2'
_cell_length_a 5.0511
_cell_length_b 5.0511
_cell_length_c 4.1579
_cell_angle_alpha 90.00
_cell_angle_beta 90.00
_cell_angle_gamma 90.00
loop_
_atom_site_label
_atom_site_type_symbol
_atom_site_fract_x
_atom_site_fract_y
_atom_site_fract_z
Li1 Li 0.0000 0.0000 0.0000
Zr1 Zr 0.5000 0.5000 0.5000
W1 W 0.0000 0.5000 0.5000
N1 N 0.5000 0.5000 0.0000
# ρ = 7.51 g/cm3
# uncorrected formation energy = 2.246 eV/atom
# total energy = -6.693 eV per atom

---

# 13
# LiY3N, optimized geometry, DFT GGA-PBE
data_LiY3N
_space_group_name_H-M_alt 'P m -3 m'
_space_group_IT_number 221
_space_group_name_Hall '-P 4 2 3'
_cell_length_a 4.8694
_cell_length_b 4.8694
_cell_length_c 4.8694
_cell_angle_alpha 90.00
_cell_angle_beta 90.00
_cell_angle_gamma 90.00
loop_
_atom_site_label
_atom_site_type_symbol
_atom_site_fract_x
_atom_site_fract_y
_atom_site_fract_z
Li1 Li 0.0000 0.0000 0.0000
Y1 Y 0.0000 0.5000 0.5000
N1 N 0.5000 0.5000 0.5000
# energy above the lowest structure with this stoichiometry = 0 meV/atom
# ρ = 4.14 g/cm3
# uncorrected formation energy = -0.561 eV/atom
# total energy = -6.487 eV per atom

---

# 14
# Li3YN, optimized geometry, DFT GGA-PBE
data_Li3YN
_space_group_name_H-M_alt 'P m -3 m'
_space_group_IT_number 221
_space_group_name_Hall '-P 4 2 3'
_cell_length_a 4.1744
_cell_length_b 4.1744
_cell_length_c 4.1744
_cell_angle_alpha 90.00
_cell_angle_beta 90.00
_cell_angle_gamma 90.00
loop_
_atom_site_label
_atom_site_type_symbol
_atom_site_fract_x
_atom_site_fract_y
_atom_site_fract_z
Li1 Li 0.0000 0.0000 0.5000
Y1 Y 0.5000 0.5000 0.5000
N1 N 0.0000 0.0000 0.0000
# energy above the lowest structure with this stoichiometry = 0 meV/atom
# ρ = 2.82 g/cm3
# uncorrected formation energy = 0.145 eV/atom
# total energy = -3.961 eV per atom

---

# 15
# Li3YN, optimized geometry, DFT GGA-PBE
data_Li3YN
_space_group_name_H-M_alt 'P m -3 m'
_space_group_IT_number 221
_space_group_name_Hall '-P 4 2 3'
_cell_length_a 5.5159
_cell_length_b 5.5159
_cell_length_c 5.5159
_cell_angle_alpha 90.00
_cell_angle_beta 90.00
_cell_angle_gamma 90.00
loop_
_atom_site_label
_atom_site_type_symbol
_atom_site_fract_x
_atom_site_fract_y
_atom_site_fract_z
Li1 Li 0.0000 0.0000 0.5000
Y1 Y 0.0000 0.0000 0.0000
N1 N 0.5000 0.5000 0.5000
# energy above the lowest structure with this stoichiometry = 2016 meV/atom
# ρ = 1.22 g/cm3
# uncorrected formation energy = 2.162 eV/atom
# total energy = -1.944 eV per atom

---

# 16
# LiYZr2N4, optimized geometry, DFT GGA-PBE
data_LiYZr2N4
_space_group_name_H-M_alt 'C m c m'
_space_group_IT_number 63
_space_group_name_Hall '-C 2c 2'
_cell_length_a 3.2749
_cell_length_b 10.7369
_cell_length_c 11.0647
_cell_angle_alpha 90.00
_cell_angle_beta 90.00
_cell_angle_gamma 90.00
loop_
_atom_site_label
_atom_site_type_symbol
_atom_site_fract_x
_atom_site_fract_y
_atom_site_fract_z
Li1 Li 0.0000 0.1553 0.2500
Y1 Y 0.0000 0.1071 0.7500
Zr1 Zr 0.0000 0.3667 0.5586
N1 N 0.0000 0.0000 0.0000
N2 N 0.0000 0.2644 0.1141
N3 N 0.0000 0.4491 0.7500
# ρ = 5.71 g/cm3
# uncorrected formation energy = -1.434 eV/atom
# total energy = -8.781 eV per atom

---

# 17
# LiYZr2N, optimized geometry, DFT GGA-PBE
data_LiYZr2N
_space_group_name_H-M_alt 'P 4/m m m'
_space_group_IT_number 123
_space_group_name_Hall '-P 4 2'
_cell_length_a 4.4998
_cell_length_b 4.4998
_cell_length_c 4.8675
_cell_angle_alpha 90.00
_cell_angle_beta 90.00
_cell_angle_gamma 90.00
loop_
_atom_site_label
_atom_site_type_symbol
_atom_site_fract_x
_atom_site_fract_y
_atom_site_fract_z
Li1 Li 0.0000 0.0000 0.0000
Y1 Y 0.5000 0.5000 0.0000
Zr1 Zr 0.0000 0.5000 0.5000
N1 N 0.5000 0.5000 0.5000
# ρ = 4.92 g/cm3
# uncorrected formation energy = -0.536 eV/atom
# total energy = -7.296 eV per atom

---

# 18
# LiZnN, optimized geometry, DFT GGA-PBE
data_LiZnN
_space_group_name_H-M_alt 'P 3 m 1'
_space_group_IT_number 156
_cell_length_a 3.3477
_cell_length_b 3.3477
_cell_length_c 3.8794
_cell_angle_alpha 90.00
_cell_angle_beta 90.00
_cell_angle_gamma 120.00
loop_
_space_group_symop_operation_xyz
'x,y,z'
'-y,x-y,z'
'-x+y,-x,z'
'-y,-x,z'
'-x+y,y,z'
'x,x-y,z'
loop_
_atom_site_label
_atom_site_type_symbol
_atom_site_fract_x
_atom_site_fract_y
_atom_site_fract_z
Li1 Li 0.0000 0.0000 0.0000
Zn1 Zn 0.6667 0.3333 0.4120
N1 N 0.3333 0.6667 0.3096
# ρ = 3.81 g/cm3
# uncorrected formation energy = -0.075 eV/atom
# total energy = -3.913 eV per atom

---

# 19
# Li2ZnN, optimized geometry, DFT GGA-PBE
data_Li2ZnN
_space_group_name_H-M_alt 'P n m a'
_space_group_IT_number 62
_cell_length_a 5.5631
_cell_length_b 6.7749
_cell_length_c 4.8609
_cell_angle_alpha 90.00
_cell_angle_beta 90.00
_cell_angle_gamma 90.00
loop_
_space_group_symop_operation_xyz
'x,y,z'
'-x,-y,-z'
'-x+1/2,-y,z+1/2'
'x+1/2,y,-z+1/2'
'x+1/2,-y+1/2,-z+1/2'
'-x+1/2,y+1/2,z+1/2'
'-x,y+1/2,-z'
'x,-y+1/2,z'
loop_
_atom_site_label
_atom_site_type_symbol
_atom_site_fract_x
_atom_site_fract_y
_atom_site_fract_z
Li1 Li 0.1601 0.0757 0.1724
Zn1 Zn 0.0579 0.2500 0.6542
N1 N 0.1180 0.7500 0.9863
# energy above the lowest structure with this stoichiometry = 0 meV/atom
# ρ = 3.38 g/cm3
# uncorrected formation energy = -0.143 eV/atom
# total energy = -3.499 eV per atom

---

# 20
# Li3ZnN, optimized geometry, DFT GGA-PBE
data_Li3ZnN
_space_group_name_H-M_alt 'P m -3 m'
_space_group_IT_number 221
_space_group_name_Hall '-P 4 2 3'
_cell_length_a 4.0011
_cell_length_b 4.0011
_cell_length_c 4.0011
_cell_angle_alpha 90.00
_cell_angle_beta 90.00
_cell_angle_gamma 90.00
loop_
_atom_site_label
_atom_site_type_symbol
_atom_site_fract_x
_atom_site_fract_y
_atom_site_fract_z
Li1 Li 0.0000 0.0000 0.5000
Zn1 Zn 0.5000 0.5000 0.5000
N1 N 0.0000 0.0000 0.0000
# energy above the lowest structure with this stoichiometry = 0 meV/atom
# ρ = 2.60 g/cm3
# uncorrected formation energy = -0.183 eV/atom
# total energy = -3.251 eV per atom